This record from Alexandria describes a relaxed structure of Cr2PtRh9. The functional is PBE.

Output
size of the total moment = 0.1962 μB/atom
formation enthalpy at 0 K = -0.077 eV/atom

Lattice parameters (Å, degrees): 4.6835 6.0675 6.6136 68.71 89.90 75.02
Last column: nearest neighbours and their distance in Å.
Sites, in units of the cell vectors:
Pt 0.0000 0.0000 0.0000  10 Rh 2.69-2.73, 2 Cr 2.71
Rh 0.8350 0.5023 0.8229  2 Cr 2.64-2.69, 9 Rh 2.66-2.80, 1 Pt 2.73
Rh 0.2453 0.7509 0.7423  2 Cr 2.64-2.67, 9 Rh 2.65-2.80, 1 Pt 2.73
Rh 0.6653 0.9994 0.6633  3 Cr 2.64-2.71, 8 Rh 2.65-2.74, 1 Pt 2.73
Rh 0.5000 0.5000 0.5000  8 Rh 2.66-2.72, 4 Cr 2.72-2.73
Rh 0.3347 0.0006 0.3367  3 Cr 2.64-2.71, 8 Rh 2.65-2.74, 1 Pt 2.73
Rh 0.7547 0.2491 0.2577  2 Cr 2.64-2.67, 9 Rh 2.65-2.80, 1 Pt 2.73
Rh 0.5894 0.7481 0.0885  9 Rh 2.68-2.79, 1 Cr 2.68, 2 Pt 2.69-2.73
Cr 0.9122 0.7570 0.4177  10 Rh 2.64-2.73, 1 Pt 2.71, 1 Cr 2.79
Rh 0.4106 0.2519 0.9115  9 Rh 2.68-2.79, 1 Cr 2.68, 2 Pt 2.69-2.73
Rh 0.1650 0.4977 0.1771  2 Cr 2.64-2.69, 9 Rh 2.66-2.80, 1 Pt 2.73
Cr 0.0878 0.2430 0.5823  10 Rh 2.64-2.73, 1 Pt 2.71, 1 Cr 2.79